# 1
LiCo2Ge PBE-GGA relaxed; space-group type = No. 62; calculated volume = 12.5 A^3/atom; magnetic moment = 0.667 μB per atom
1.0
4.0764 0.0000 0.0000
0.0000 6.9911 0.0000
0.0000 0.0000 7.0455
Co Ge Li
8 4 4
direct
0.0005 0.0837 0.1686 Co
0.0005 0.4163 0.1686 Co
0.5005 0.5837 0.3314 Co
0.5005 0.9163 0.3314 Co
0.4995 0.0837 0.6686 Co
0.4995 0.4163 0.6686 Co
0.9995 0.5837 0.8314 Co
0.9995 0.9163 0.8314 Co
0.9990 0.7500 0.1636 Ge
0.4990 0.2500 0.3364 Ge
0.5010 0.7500 0.6636 Ge
0.0010 0.2500 0.8364 Ge
0.5012 0.2500 0.0027 Li
0.0012 0.7500 0.4973 Li
0.9988 0.2500 0.5027 Li
0.4988 0.7500 0.9973 Li

=====

# 2
TlReAgSe3 PBE-GGA relaxed; space-group type = No. 63; calculated volume = 22.9 A^3/atom; magnetic moment = 0.366 μB per atom
1.0
10.2559 0.0000 0.0000
0.0000 1.7376 7.7055
0.0000 -1.7376 7.7055
Ag Re Se Tl
2 2 6 2
direct
0.0000 0.4229 0.4229 Ag
0.5000 0.5771 0.5771 Ag
0.2500 0.0000 0.0000 Re
0.7500 0.0000 0.0000 Re
0.0000 0.0590 0.0590 Se
0.2400 0.3792 0.3792 Se
0.7600 0.3792 0.3792 Se
0.2600 0.6208 0.6208 Se
0.7400 0.6208 0.6208 Se
0.5000 0.9410 0.9410 Se
0.5000 0.2557 0.2557 Tl
0.0000 0.7443 0.7443 Tl

=====

# 3
GaAgSeS PBE-GGA relaxed; space-group type = No. 9; calculated volume = 23.8 A^3/atom
1.0
4.1893 -4.1898 0.0000
4.1893 4.1898 0.0000
-4.0924 0.0000 5.4261
Ag Ga S Se
2 2 2 2
direct
0.9987 0.7315 0.0002 Ag
0.7315 0.9987 0.5002 Ag
0.2641 0.5000 0.4998 Ga
0.5000 0.2641 0.9998 Ga
0.3783 0.5920 0.2499 S
0.5920 0.3783 0.7499 S
0.8780 0.1575 0.2501 Se
0.1575 0.8780 0.7501 Se

=====

# 4
ErNpNi PBE-GGA relaxed; space-group type = No. 216; calculated volume = 22.4 A^3/atom; magnetic moment = 0.007 μB per atom; E_form = 637 meV/atom
1.0
0.0000 3.2254 3.2254
3.2254 0.0000 3.2254
3.2254 3.2254 0.0000
Er Ni Np
1 1 1
direct
0.7500 0.7500 0.7500 Er
0.0000 0.0000 0.0000 Ni
0.2500 0.2500 0.2500 Np

=====

# 5
CsAcHo PBE-GGA relaxed; space-group type = No. 216; calculated volume = 57.7 A^3/atom; magnetic moment = 0.737 μB per atom; distance to the lowest polymorph of the same formula = 0 meV per atom
1.0
2.7379 1.2172 5.4923
1.2231 5.9115 1.6437
-3.2708 2.7104 4.5933
Ac Cs Ho
1 1 1
direct
0.5000 0.5000 0.5000 Ac
0.0000 0.0000 0.0000 Cs
0.2500 0.2500 0.2500 Ho

=====

# 6
Li2GaPd PBE-GGA relaxed; space-group type = No. 216; calculated volume = 13.9 A^3/atom
1.0
3.6846 -0.1883 2.1792
0.6709 -3.1695 2.8045
2.8554 -3.0712 -0.8805
Ga Li Pd
1 2 1
direct
0.5000 0.5000 0.5000 Ga
0.0000 0.0000 0.0000 Li
0.7500 0.7500 0.7500 Li
0.2500 0.2500 0.2500 Pd

=====

# 7
SmHf PBE-GGA relaxed; space-group type = No. 225; calculated volume = 29.0 A^3/atom; magnetic moment = 0.004 μB per atom; E_form = 1104 meV/atom; distance to the lowest polymorph of the same formula = 863 meV per atom
1.0
-0.4468 -3.9671 1.7187
1.1574 -0.7236 4.1266
-3.0444 -0.7321 3.0145
Hf Sm
1 1
direct
0.0000 0.0000 0.0000 Hf
0.5000 0.5000 0.5000 Sm

=====

# 8
LaIn2PtAu PBE-GGA relaxed; space-group type = No. 129; calculated volume = 23.7 A^3/atom; magnetic moment = 0.002 μB per atom
1.0
-0.6299 -4.5025 0.6480
3.8439 -0.1770 2.5063
-5.9601 2.1715 9.2945
Au In La Pt
2 4 2 2
direct
0.0000 0.0000 0.0000 Au
0.5000 0.5000 0.0000 Au
0.5000 0.0000 0.1361 In
0.0000 0.0000 0.5000 In
0.5000 0.5000 0.5000 In
0.0000 0.5000 0.8639 In
0.0000 0.5000 0.2570 La
0.5000 0.0000 0.7430 La
0.5000 0.0000 0.3675 Pt
0.0000 0.5000 0.6325 Pt

=====

# 9
Sr2Gd2B3 PBE-GGA relaxed; space-group type = No. 65; calculated volume = 29.3 A^3/atom; magnetic moment = 0.001 μB per atom
1.0
1.7249 -9.4951 0.0000
1.7249 9.4951 0.0000
0.0000 0.0000 6.2708
B Gd Sr
3 2 2
direct
0.0000 0.0000 0.0000 B
0.7342 0.2658 0.0000 B
0.2658 0.7342 0.0000 B
0.8668 0.1332 0.0000 Gd
0.1332 0.8668 0.0000 Gd
0.6068 0.3932 0.5000 Sr
0.3932 0.6068 0.5000 Sr

=====

# 10
LaGd2Sn3Pb4 PBE-GGA relaxed; space-group type = No. 65; calculated volume = 28.5 A^3/atom; magnetic moment = 0.000 μB per atom; distance to the lowest polymorph of the same formula = 7 meV per atom
1.0
2.3324 -12.8610 0.0000
2.3324 12.8610 0.0000
0.0000 0.0000 4.7429
Gd La Pb Sn
2 1 4 3
direct
0.8135 0.1865 0.0000 Gd
0.1865 0.8135 0.0000 Gd
0.0000 0.0000 0.0000 La
0.9023 0.0977 0.5000 Pb
0.7059 0.2941 0.5000 Pb
0.2941 0.7059 0.5000 Pb
0.0977 0.9023 0.5000 Pb
0.5972 0.4028 0.0000 Sn
0.4028 0.5972 0.0000 Sn
0.5000 0.5000 0.5000 Sn

=====

# 11
Li2Zn2InGePd2 PBE-GGA relaxed; space-group type = No. 115; calculated volume = 15.3 A^3/atom
1.0
-1.2279 -4.1993 0.6140
4.2093 -1.2866 -0.3814
0.7698 0.6811 6.1973
Ge In Li Pd Zn
1 1 2 2 2
direct
0.5000 0.5000 0.0000 Ge
0.0000 0.0000 0.5000 In
0.0000 0.5000 0.2324 Li
0.5000 0.0000 0.7676 Li
0.5000 0.0000 0.2324 Pd
0.0000 0.5000 0.7676 Pd
0.0000 0.0000 0.0000 Zn
0.5000 0.5000 0.5000 Zn

=====

# 12
TbOs PBE-GGA relaxed; space-group type = No. 38; calculated volume = 20.3 A^3/atom; magnetic moment = 0.000 μB per atom; E_form = 423 meV/atom
1.0
-1.1842 2.4242 -1.8344
-1.6210 -0.9740 2.6658
2.2263 2.9190 2.4202
Os Tb
1 1
direct
0.6664 0.3330 0.7500 Os
0.3336 0.6670 0.2500 Tb

=====

# 13
Dy2Mg3Ni2 PBE-GGA relaxed; space-group type = No. 65; calculated volume = 21.4 A^3/atom; magnetic moment = 0.002 μB per atom
1.0
1.9722 -10.4874 0.0000
1.9722 10.4874 0.0000
0.0000 0.0000 3.6271
Dy Mg Ni
2 3 2
direct
0.8234 0.1766 0.0000 Dy
0.1766 0.8234 0.0000 Dy
0.0000 0.0000 0.0000 Mg
0.5801 0.4199 0.5000 Mg
0.4199 0.5801 0.5000 Mg
0.7131 0.2869 0.5000 Ni
0.2869 0.7131 0.5000 Ni

=====

# 14
Ta4Ni3Mo2N3 PBE-GGA relaxed; space-group type = No. 15; calculated volume = 12.6 A^3/atom; magnetic moment = 0.000 μB per atom
1.0
4.3691 -2.5117 0.0000
4.3691 2.5117 0.0000
-2.9083 0.0000 13.8049
Mo N Ni Ta
4 6 6 8
direct
0.5343 0.3687 0.1039 Mo
0.6313 0.4657 0.3961 Mo
0.3687 0.5343 0.6039 Mo
0.4657 0.6313 0.8961 Mo
0.5000 0.0000 0.0000 N
0.8322 0.3340 0.0000 N
0.1678 0.6660 0.0000 N
0.3340 0.8322 0.5000 N
0.0000 0.5000 0.5000 N
0.6660 0.1678 0.5000 N
0.5809 0.0705 0.2498 Ni
0.2297 0.7703 0.2500 Ni
0.9295 0.4191 0.2502 Ni
0.0705 0.5809 0.7498 Ni
0.7703 0.2297 0.7500 Ni
0.4191 0.9295 0.7502 Ni
0.2001 0.0326 0.0997 Ta
0.8654 0.7003 0.0998 Ta
0.2997 0.1346 0.4002 Ta
0.9674 0.7999 0.4003 Ta
0.0326 0.2001 0.5997 Ta
0.7003 0.8654 0.5998 Ta
0.1346 0.2997 0.9002 Ta
0.7999 0.9674 0.9003 Ta

=====

# 15
Co2Re PBE-GGA relaxed; space-group type = No. 136; calculated volume = 12.3 A^3/atom; magnetic moment = 0.131 μB per atom; E_form = 215 meV/atom; distance to the lowest polymorph of the same formula = 159 meV per atom
1.0
-4.6188 1.8918 -7.5143
-5.5175 -6.9451 1.6429
-2.7351 2.7334 2.3693
Co Re
20 10
direct
0.4630 0.1294 0.0000 Co
0.3993 0.3993 0.0000 Co
0.1294 0.4630 0.0000 Co
0.8706 0.5370 0.0000 Co
0.6007 0.6007 0.0000 Co
0.5370 0.8706 0.0000 Co
0.6809 0.3191 0.2499 Co
0.3191 0.6809 0.2499 Co
0.1809 0.1809 0.2501 Co
0.8191 0.8191 0.2501 Co
0.6294 0.0370 0.5000 Co
0.8993 0.1007 0.5000 Co
0.9630 0.3706 0.5000 Co
0.0370 0.6294 0.5000 Co
0.1007 0.8993 0.5000 Co
0.3706 0.9630 0.5000 Co
0.1809 0.1809 0.7499 Co
0.8191 0.8191 0.7499 Co
0.6809 0.3191 0.7501 Co
0.3191 0.6809 0.7501 Co
0.0000 0.0000 0.0000 Re
0.7287 0.0662 0.0000 Re
0.9338 0.2713 0.0000 Re
0.0662 0.7287 0.0000 Re
0.2713 0.9338 0.0000 Re
0.4338 0.2287 0.5000 Re
0.2287 0.4338 0.5000 Re
0.5000 0.5000 0.5000 Re
0.7713 0.5662 0.5000 Re
0.5662 0.7713 0.5000 Re

=====

# 16
MgTaOs2 PBE-GGA relaxed; space-group type = No. 194; calculated volume = 17.1 A^3/atom; magnetic moment = 0.002 μB per atom
1.0
2.2651 -3.9232 0.0000
2.2651 3.9232 0.0000
0.0000 0.0000 7.6863
Mg Os Ta
2 4 2
direct
0.0000 0.0000 0.2500 Mg
0.0000 0.0000 0.7500 Mg
0.3333 0.6667 0.0860 Os
0.3333 0.6667 0.4140 Os
0.6667 0.3333 0.5860 Os
0.6667 0.3333 0.9140 Os
0.6667 0.3333 0.2500 Ta
0.3333 0.6667 0.7500 Ta

=====

# 17
TlTcB4 PBE-GGA relaxed; space-group type = No. 191; calculated volume = 11.8 A^3/atom; magnetic moment = 0.002 μB per atom; distance to the lowest polymorph of the same formula = 0 meV per atom
1.0
-1.2053 -1.1293 2.4955
2.9430 0.5253 -0.1352
-1.3579 8.4202 3.1546
B Tc Tl
4 1 1
direct
0.6667 0.3333 0.1840 B
0.3333 0.6667 0.1840 B
0.6667 0.3333 0.8160 B
0.3333 0.6667 0.8160 B
0.0000 0.0000 0.0000 Tc
0.0000 0.0000 0.5000 Tl

=====

# 18
ErBO3 PBE-GGA relaxed; space-group type = No. 2; calculated volume = 9.9 A^3/atom; magnetic moment = 0.000 μB per atom
1.0
7.1208 -0.0051 0.0063
1.9783 8.6841 -0.0012
0.7634 1.3301 9.5981
B Er O
12 12 36
direct
0.8852 0.7427 0.0522 B
0.5223 0.7152 0.0773 B
0.1683 0.2716 0.2060 B
0.7803 0.2172 0.3078 B
0.4672 0.7791 0.3863 B
0.1068 0.7530 0.4472 B
0.8932 0.2470 0.5528 B
0.5328 0.2209 0.6137 B
0.2197 0.7828 0.6922 B
0.8317 0.7284 0.7940 B
0.4777 0.2848 0.9227 B
0.1148 0.2573 0.9478 B
0.7379 0.4396 0.0291 Er
0.5743 0.0557 0.1558 Er
0.0981 0.9315 0.1627 Er
0.9012 0.5650 0.3299 Er
0.4337 0.4409 0.3434 Er
0.2503 0.0447 0.4785 Er
0.7497 0.9553 0.5215 Er
0.5663 0.5591 0.6566 Er
0.0988 0.4350 0.6701 Er
0.9019 0.0685 0.8373 Er
0.4257 0.9443 0.8442 Er
0.2621 0.5604 0.9709 Er
0.8464 0.9097 0.0362 O
0.4712 0.3116 0.0737 O
0.0801 0.3370 0.0806 O
0.4279 0.8734 0.0876 O
0.0592 0.6803 0.1287 O
0.7276 0.6762 0.1289 O
0.4329 0.5936 0.1489 O
0.8442 0.1283 0.1934 O
0.2465 0.1149 0.2378 O
0.7534 0.3846 0.2649 O
0.1665 0.3667 0.3048 O
0.2685 0.8179 0.3627 O
0.5899 0.1851 0.3686 O
0.9341 0.8155 0.3689 O
0.5486 0.9063 0.3729 O
0.5671 0.6302 0.4162 O
0.9208 0.1598 0.4272 O
0.1504 0.5871 0.4645 O
0.8496 0.4129 0.5355 O
0.0792 0.8402 0.5728 O
0.4329 0.3698 0.5838 O
0.4514 0.0937 0.6271 O
0.0659 0.1845 0.6311 O
0.4101 0.8149 0.6314 O
0.7315 0.1821 0.6373 O
0.8335 0.6333 0.6952 O
0.2466 0.6154 0.7351 O
0.7535 0.8851 0.7622 O
0.1558 0.8717 0.8066 O
0.5671 0.4064 0.8511 O
0.2724 0.3238 0.8711 O
0.9408 0.3197 0.8713 O
0.5721 0.1267 0.9124 O
0.9199 0.6630 0.9194 O
0.5288 0.6884 0.9263 O
0.1536 0.0903 0.9638 O

=====

# 19
GaB2Ir2 PBE-GGA relaxed; space-group type = No. 139; calculated volume = 11.9 A^3/atom; magnetic moment = 0.000 μB per atom; distance to the lowest polymorph of the same formula = 125 meV per atom
1.0
2.7782 -3.2143 2.1440
-0.7296 0.2341 4.6968
-3.0402 -0.3984 -3.6394
B Ga Ir
2 1 2
direct
0.3891 0.3891 0.0000 B
0.6109 0.6109 0.0000 B
0.0000 0.0000 0.0000 Ga
0.7500 0.2500 0.5000 Ir
0.2500 0.7500 0.5000 Ir

=====

# 20
BeNiOs2 PBE-GGA relaxed; space-group type = No. 216; calculated volume = 12.5 A^3/atom; magnetic moment = 0.003 μB per atom
1.0
0.0000 2.9221 2.9221
2.9221 0.0000 2.9221
2.9221 2.9221 0.0000
Be Ni Os
1 1 2
direct
0.5000 0.5000 0.5000 Be
0.2500 0.2500 0.2500 Ni
0.0000 0.0000 0.0000 Os
0.7500 0.7500 0.7500 Os

=====

# 21
HfPtAu PBE-GGA relaxed; space-group type = No. 123; calculated volume = 17.9 A^3/atom; magnetic moment = 0.001 μB per atom; E_form = -882 meV/atom; distance to the lowest polymorph of the same formula = 44 meV per atom
1.0
-2.1498 -2.6250 0.9084
2.7302 -2.2084 0.0798
1.2663 1.8691 8.3983
Au Hf Pt
2 2 2
direct
0.5000 0.5000 0.1646 Au
0.5000 0.5000 0.8354 Au
0.0000 0.0000 0.0000 Hf
0.5000 0.5000 0.5000 Hf
0.0000 0.0000 0.3378 Pt
0.0000 0.0000 0.6622 Pt

=====

Number 1: VASP energy -5.206 eV/atom. Number 2: VASP energy -4.602 eV/atom. Number 3: VASP energy -3.849 eV/atom. Number 4: VASP energy -6.997 eV/atom. Number 5: VASP energy -2.095 eV/atom. Number 6: VASP energy -3.551 eV/atom. Number 7: VASP energy -6.229 eV/atom. Number 8: VASP energy -4.619 eV/atom. Number 9: VASP energy -3.931 eV/atom. Number 10: VASP energy -4.592 eV/atom. Number 11: VASP energy -3.452 eV/atom. Number 12: VASP energy -7.505 eV/atom. Number 13: VASP energy -3.858 eV/atom. Number 14: VASP energy -9.620 eV/atom. Number 15: VASP energy -8.664 eV/atom. Number 16: VASP energy -8.448 eV/atom. Number 17: VASP energy -6.342 eV/atom. Number 18: VASP energy -8.305 eV/atom. Number 19: VASP energy -6.977 eV/atom. Number 20: VASP energy -7.756 eV/atom. Number 21: VASP energy -7.308 eV/atom.